Entry 1:
Te2OsO: optimized geometry, GGA-PBE.

Its final energy is -5.673 eV/atom. Its formation energy from raw total energies is -0.055 eV/atom.

Lattice parameters (Å, degrees): 4.1516 4.1516 19.0267 90.00 90.00 120.00
Space group R-3m (No. 166, hexagonal axes)
One atom of each set of equivalent atoms:
Te: 0.0000 0.0000 0.1046 [6 per cell]
Os: 0.0000 0.0000 0.5000 [3 per cell]
O: 0.0000 0.0000 0.0000 [3 per cell]

---

Entry 2:
TeOsO5: optimized geometry, GGA-PBE.

Its final energy is -6.494 eV/atom. Its formation energy from raw total energies is -0.900 eV/atom.

Lattice parameters (Å, degrees): 5.2262 5.5221 7.3717 71.65 71.60 74.89
Space group P-1 (No. 2)
One atom of each set of equivalent atoms:
Te: 0.0129 0.0431 0.2444 [2 per cell]
Os: 0.5000 0.5000 0.0000 [1 per cell]
Os: 0.5000 0.5000 0.5000 [1 per cell]
O: 0.1701 0.3568 0.1496 [2 per cell]
O: 0.2224 0.8291 0.5260 [2 per cell]
O: 0.2352 0.3189 0.5594 [2 per cell]
O: 0.2577 0.8368 0.9161 [2 per cell]
O: 0.4971 0.6058 0.2197 [2 per cell]

---

Entry 3:
TeOsO: optimized geometry, GGA-PBE.

Its final energy is -6.573 eV/atom. Its formation energy from raw total energies is -0.130 eV/atom.

Lattice parameters (Å, degrees): 12.3912 3.1722 7.2365 90.00 114.59 90.00
Space group C2/m (No. 12)
One atom of each set of equivalent atoms:
Te: 0.1678 0.0000 0.2599 [4 per cell]
Os: 0.0980 0.5000 0.4906 [4 per cell]
O: 0.0679 0.5000 0.7316 [4 per cell]

---

Entry 4:
Te2OsO: optimized geometry, GGA-PBE.

Its final energy is -5.328 eV/atom. Its formation energy from raw total energies is 0.290 eV/atom.

Lattice parameters (Å, degrees): 5.6678 5.6678 11.5659 90.00 90.00 90.00
Space group I-42d (No. 122)
One atom of each set of equivalent atoms:
Te: 0.2308 0.2500 0.1250 [8 per cell]
Os: 0.0000 0.0000 0.5000 [4 per cell]
O: 0.0000 0.0000 0.0000 [4 per cell]

---

Entry 5:
Te2OsO: optimized geometry, GGA-PBE.

Its final energy is -4.880 eV/atom. Its formation energy from raw total energies is 0.738 eV/atom.

Lattice parameters (Å, degrees): 3.0879 3.0879 26.5021 90.00 90.00 120.00
Space group R-3m (No. 166, hexagonal axes)
One atom of each set of equivalent atoms:
Te: 0.0000 0.0000 0.0974 [6 per cell]
Os: 0.0000 0.0000 0.0000 [3 per cell]
O: 0.0000 0.0000 0.5000 [3 per cell]

---

Entry 6:
TeOs2O: optimized geometry, GGA-PBE.

Its final energy is -7.269 eV/atom. Its formation energy from raw total energies is 0.371 eV/atom. The distance to the lowest polymorph of the same formula comes out at 0 meV/atom.

Lattice parameters (Å, degrees): 4.5178 4.5178 13.5930 90.00 90.00 90.00
Space group I-42d (No. 122)
One atom of each set of equivalent atoms:
Te: 0.0000 0.0000 0.0000 [4 per cell]
Os: 0.1210 0.2500 0.6250 [8 per cell]
O: 0.0000 0.0000 0.5000 [4 per cell]

---

Entry 7:
TeOs2O: optimized geometry, GGA-PBE.

Its final energy is -6.727 eV/atom. Its formation energy from raw total energies is 0.913 eV/atom. The distance to the lowest polymorph of the same formula comes out at 542 meV/atom.

Lattice parameters (Å, degrees): 6.1351 6.1351 6.1351 90.00 90.00 90.00
Space group Fm-3m (No. 225)
One atom of each set of equivalent atoms:
Te: 0.0000 0.0000 0.0000 [4 per cell]
Os: 0.2500 0.2500 0.2500 [8 per cell]
O: 0.0000 0.0000 0.5000 [4 per cell]

---

Entry 8:
Tl2TeOsO6: optimized geometry, GGA-PBE.

Its final energy is -5.620 eV/atom. Its formation energy from raw total energies is -0.735 eV/atom.

Lattice parameters (Å, degrees): 5.0137 5.5200 6.7639 113.99 103.04 90.00
Space group P-1 (No. 2)
One atom of each set of equivalent atoms:
Tl: 0.2385 0.2309 0.4620 [2 per cell]
Te: 0.0000 0.5000 0.0000 [1 per cell]
Os: 0.5000 0.0000 0.0000 [1 per cell]
O: 0.2269 0.6448 0.2925 [2 per cell]
O: 0.2297 0.1849 0.8924 [2 per cell]
O: 0.2343 0.7043 0.8925 [2 per cell]